Entry 1:
LaTa2Pb (meta-GGA SCAN, single point on PBEsol structure); space-group type = No. 8; VASP energy = -250.606 eV per cell; DOS(E_F) = 1.072 states/eV per atom
1.0
-1.4303 -1.9935 1.8501
4.6493 -1.2583 -0.3134
0.8753 4.3338 5.3465
La Pb Ta
1 1 2
Direct
0.4934 0.9868 0.5193
0.7431 0.4862 0.2005
0.0016 0.0031 0.9678
0.2619 0.5239 0.8124



Entry 2:
AgPt3 (meta-GGA SCAN, single point on PBEsol structure); space-group type = No. 221; VASP energy = -241.814 eV per cell; DOS(E_F) = 0.694 states/eV per atom
1.0
3.9325 0.0000 0.0000
0.0000 3.9325 0.0000
0.0000 0.0000 3.9325
Pt Ag
3 1
Direct
0.0000 0.5000 0.5000
0.5000 0.0000 0.5000
0.5000 0.5000 0.0000
0.0000 0.0000 0.0000



Entry 3:
MnCoSb2 (meta-GGA SCAN, single point on PBEsol structure); space-group type = No. 44; energy above the most stable polymorph in this dataset = 0 meV per atom; DOS(E_F) = 0.491 states/eV per atom
1.0
-1.2840 -0.5920 -2.6773
-0.0046 -3.8352 0.8502
-4.7379 2.7653 3.3729
Co Mn Sb
1 1 2
Direct
0.4823 0.4823 0.9645
0.1851 0.6851 0.3702
0.0333 0.0333 0.0666
0.7993 0.2993 0.5987



Entry 4:
YGeH2Se (meta-GGA SCAN, single point on PBEsol structure); space-group type = No. 123; energy above the most stable polymorph in this dataset = 543 meV per atom; DOS(E_F) = 0.769 states/eV per atom
1.0
-2.8420 -2.6762 0.1663
2.6671 -2.8464 -0.2265
0.4185 -0.0776 5.9028
Y H Ge Se
1 2 1 1
Direct
0.0000 0.0000 0.5000
0.0000 0.5000 0.0000
0.5000 0.0000 0.0000
0.5000 0.5000 0.5000
0.0000 0.0000 0.0000



Entry 5:
Ag2ClF (meta-GGA SCAN, single point on PBEsol structure); space-group type = No. 225; energy above the most stable polymorph in this dataset = 0 meV per atom
1.0
4.4276 0.0000 0.0000
2.2138 3.8344 0.0000
2.2138 1.2781 3.6151
F Ag Cl
1 2 1
Direct
0.0000 0.0000 0.0000
0.2500 0.2500 0.2500
0.7500 0.7500 0.7500
0.5000 0.5000 0.5000



Entry 6:
SrCaNiP2O8 (meta-GGA SCAN, single point on PBEsol structure); space-group type = No. 2; VASP energy = -310.017 eV per cell; DOS(E_F) = 0.000 states/eV per atom
1.0
-1.6721 4.6232 2.7084
-5.9180 -3.4139 0.0972
5.7793 -3.7468 6.1766
Sr Ca Ni P O
2 2 2 4 16
Direct
0.2720 0.8068 0.0677
0.7280 0.1932 0.9323
0.0142 0.4228 0.6640
0.9858 0.5772 0.3360
0.6482 0.8516 0.5579
0.3518 0.1484 0.4421
0.3862 0.4174 0.2262
0.6138 0.5826 0.7738
0.8439 0.0330 0.2987
0.1561 0.9670 0.7013
0.8571 0.5687 0.8811
0.6098 0.4577 0.1588
0.6438 0.8015 0.7562
0.9538 0.1024 0.6938
0.3902 0.5423 0.8412
0.0045 0.7350 0.5945
0.9955 0.2650 0.4055
0.2672 0.9948 0.8724
0.3562 0.1985 0.2438
0.7328 0.0052 0.1276
0.1429 0.4313 0.1189
0.4141 0.5935 0.3910
0.5859 0.4065 0.6090
0.6338 0.9651 0.3743
0.0462 0.8976 0.3062
0.3662 0.0349 0.6257



Number 1: ρ 12.1 g/cm³, total moment 0.00 μB/cell. Number 2: ρ 18.9 g/cm³, total moment 0.00 μB/cell. Number 3: ρ 8.4 g/cm³, total moment 4.04 μB/cell. Number 4: ρ 4.5 g/cm³, total moment 0.00 μB/cell. Number 5: ρ 7.3 g/cm³, total moment 0.00 μB/cell. Number 6: ρ 3.9 g/cm³, total moment 3.88 μB/cell.